KLiPb2: optimized geometry, PBE.

## Properties
Size of the total moment in μB/atom: 0.0000
ΔH_f (0 K) in meV per atom: -89

a b c (Å): 3.7161 4.4770 7.8751
angles (deg): 90.00 90.00 90.00
Last column: nearest neighbours and their distance in Å.
Fractional positions:
K1 0.0000 0.0000 0.4937  2 K 3.72, 6 Pb 3.74-4.05, 4 Li 3.93
Li1 0.5000 0.5000 0.8300  5 Pb 2.88-3.14
Pb1 0.0000 0.0000 0.9800  4 Li 3.14, 4 Pb 3.37
Pb2 0.5000 0.5000 0.1963  1 Li 2.88


La3Au2: optimized geometry, PBE.

## Properties
Size of the total moment in μB/atom: 0.0000
ΔH_f (0 K) in meV per atom: -601

a b c (Å): 6.5651 6.5651 7.3688
angles (deg): 56.23 56.23 36.47
Last column: nearest neighbours and their distance in Å.
Fractional positions:
La1 0.6949 0.6949 0.3021  4 Au 3.20-3.22
La2 0.5000 0.5000 0.0000  4 Au 3.01
La3 0.3051 0.3051 0.6979  4 Au 3.20-3.22
Au1 0.0036 0.0036 0.6975  1 Au 2.96, 6 La 3.01-3.22
Au2 0.9964 0.9964 0.3025  1 Au 2.96, 6 La 3.01-3.22


Ce2Th3Sc2: optimized geometry, PBE.

## Properties
Size of the total moment in μB/atom: 0.0000
ΔH_f (0 K) in meV per atom: 135

a b c (Å): 3.3763 5.9665 10.9162
angles (deg): 77.66 81.10 73.56
Last column: nearest neighbours and their distance in Å.
Fractional positions:
Ce1 0.7751 0.0850 0.3648  4 Ce 3.36-3.38, 3 Sc 3.37-3.47, 5 Th 3.40-3.44
Ce2 0.2249 0.9150 0.6352  4 Ce 3.36-3.38, 3 Sc 3.37-3.47, 5 Th 3.40-3.44
Th1 0.0000 0.5000 0.5000  4 Sc 3.36, 2 Th 3.38, 6 Ce 3.40-3.44
Th2 0.3303 0.2535 0.0859  4 Sc 3.35-3.47, 5 Th 3.38-3.71, 2 Ce 3.43
Th3 0.6697 0.7465 0.9141  4 Sc 3.35-3.47, 5 Th 3.38-3.71, 2 Ce 3.43
Sc1 0.5536 0.6635 0.2294  6 Th 3.35-3.47, 3 Ce 3.37-3.47, 2 Sc 3.38
Sc2 0.4464 0.3365 0.7706  6 Th 3.35-3.47, 3 Ce 3.37-3.47, 2 Sc 3.38


Li2GaAgH: optimized geometry, PBE.

## Properties
Size of the total moment in μB/atom: 0.0000

a b c (Å): 4.0193 4.0193 4.0494
angles (deg): 90.00 90.00 90.00
Last column: nearest neighbours and their distance in Å.
Fractional positions:
H1 0.0000 0.0000 0.0000  4 Li 2.01, 2 Ag 2.02
Ga1 0.5000 0.5000 0.5000  4 Ag 2.84, 8 Li 2.85
Ag1 0.0000 0.0000 0.5000  2 H 2.02
Li1 0.0000 0.5000 0.0000  2 H 2.01
Li2 0.5000 0.0000 0.0000  2 H 2.01


Number 1: raw total energy -2.70 eV/atom, volume 32.8 Å³ per atom, N(E_F) 2.6 states/eV/f.u.. Number 2: raw total energy -4.87 eV/atom, volume 30.6 Å³ per atom, N(E_F) 5.4 states/eV/f.u.. Number 3: raw total energy -6.55 eV/atom, volume 29.3 Å³ per atom, N(E_F) 13.7 states/eV/f.u.. Number 4: raw total energy -2.78 eV/atom, volume 13.1 Å³ per atom, N(E_F) 1.7 states/eV/f.u..